Entry from Alexandria: a relaxed structure of Y5S5N (GGA-PBE).

Results
Formation energy (no corrections): -21.56 eV per formula unit

a = 12.1664 Å, b = 5.4476 Å, c = 7.6149 Å
α = 90.00°, β = 108.68°, γ = 90.00°
Space group C2/m (No. 12)
Asymmetric unit:
Y: 0.0000 0.0000 0.0000 [2 per cell]
Y: 0.1496 0.5000 0.8415 [4 per cell]
Y: 0.1546 0.5000 0.3134 [4 per cell]
S: 0.0000 0.5000 0.5000 [2 per cell]
S: 0.1671 0.0000 0.8329 [4 per cell]
S: 0.1739 0.0000 0.3320 [4 per cell]
N: 0.0000 0.5000 0.0000 [2 per cell]

Entry from Alexandria: a relaxed structure of BeTc2Te (GGA-PBE).

Results
Formation energy (no corrections): 0.99 eV per formula unit
ΔE to the lowest computed polymorph: 44.7 kJ/mol of formula units

a = 8.7183 Å, b = 3.1699 Å, c = 4.6197 Å
α = 90.00°, β = 107.98°, γ = 90.00°
Space group Cm (No. 8)
Asymmetric unit:
Be: 0.0000 0.0000 0.0000 [2 per cell]
Tc: 0.2253 0.5000 0.0726 [2 per cell]
Tc: 0.4817 0.0000 0.3996 [2 per cell]
Te: 0.2416 0.0000 0.6310 [2 per cell]

Entry from Alexandria: a relaxed structure of Na2LiGe (GGA-PBE).

Results
Calculated formation energy: -0.18 eV/f.u.

a = 5.6796 Å, b = 5.0198 Å, c = 6.3689 Å
α = 90.00°, β = 91.13°, γ = 90.00°
Space group P2_1/m (No. 11)
Asymmetric unit:
Na: 0.1666 0.2500 0.9995 [2 per cell]
Na: 0.1739 0.2500 0.4865 [2 per cell]
Li: 0.4087 0.7500 0.2427 [2 per cell]
Ge: 0.3512 0.7500 0.7542 [2 per cell]

| no. | total energy (eV per atom) |
| --- | --- |
| 1 | -7.53 |
| 2 | -6.65 |
| 3 | -2.34 |